1.
# SrTmZn2Au2 | the Alexandria database | PBE-GGA | optimized geometry
# Theoretical density in g cm⁻³: 9.38
# Energy of formation in eV/f.u.: -3.85
# Size of the total moment in Bohr magnetons per cell: 0.00
# Fermi-level density of states in states/eV/f.u.: 3.02
data_SrTmZn2Au2
_space_group_name_H-M_alt 'P -3 m 1'
_space_group_IT_number 164
_space_group_name_Hall '-P 3 2"'
_cell_length_a 4.5807
_cell_length_b 4.5807
_cell_length_c 7.6084
_cell_angle_alpha 90.00
_cell_angle_beta 90.00
_cell_angle_gamma 120.00
loop_
_atom_site_label
_atom_site_fract_x
_atom_site_fract_y
_atom_site_fract_z
Sr1 0.0000 0.0000 0.0000
Tm1 0.0000 0.0000 0.5000
Zn1 0.3333 0.6667 0.7095
Au1 0.3333 0.6667 0.2951


2.
# SrTmZnAu | the Alexandria database | PBE-GGA | optimized geometry
# Theoretical density in g cm⁻³: 8.60
# Energy of formation in eV/f.u.: -1.75
# Size of the total moment in Bohr magnetons per cell: 0.00
# Fermi-level density of states in states/eV/f.u.: 2.25
data_SrTmZnAu
_space_group_name_H-M_alt 'F -4 3 m'
_space_group_IT_number 216
_space_group_name_Hall 'F -4 2 3'
_cell_length_a 7.373
_cell_length_b 7.373
_cell_length_c 7.373
_cell_angle_alpha 90.00
_cell_angle_beta 90.00
_cell_angle_gamma 90.00
loop_
_atom_site_label
_atom_site_fract_x
_atom_site_fract_y
_atom_site_fract_z
Sr1 0.000 0.000 0.000
Tm1 0.000 0.000 0.500
Zn1 0.250 0.250 0.750
Au1 0.250 0.250 0.250


3.
# SrVAu2 | the Alexandria database | PBE-GGA | optimized geometry
# Theoretical density in g cm⁻³: 7.52
# Energy of formation in eV/f.u.: 0.57
# Size of the total moment in Bohr magnetons per cell: 13.96
# Fermi-level density of states in states/eV/f.u.: 4.85
data_SrVAu2
_space_group_name_H-M_alt 'I -4 2 d'
_space_group_IT_number 122
_space_group_name_Hall 'I -4 2bw'
_cell_length_a 5.199
_cell_length_b 5.199
_cell_length_c 17.388
_cell_angle_alpha 90.00
_cell_angle_beta 90.00
_cell_angle_gamma 90.00
loop_
_atom_site_label
_atom_site_fract_x
_atom_site_fract_y
_atom_site_fract_z
Sr1 0.000 0.000 0.000
V1 0.000 0.000 0.500
Au1 0.113 0.250 0.625


4.
# SrVAu3 | the Alexandria database | PBE-GGA | optimized geometry
# Theoretical density in g cm⁻³: 9.44
# Energy of formation in eV/f.u.: -0.21
# Size of the total moment in Bohr magnetons per cell: 2.38
# Fermi-level density of states in states/eV/f.u.: 5.42
data_SrVAu3
_space_group_name_H-M_alt 'P m -3 m'
_space_group_IT_number 221
_space_group_name_Hall '-P 4 2 3'
_cell_length_a 5.044
_cell_length_b 5.044
_cell_length_c 5.044
_cell_angle_alpha 90.00
_cell_angle_beta 90.00
_cell_angle_gamma 90.00
loop_
_atom_site_label
_atom_site_fract_x
_atom_site_fract_y
_atom_site_fract_z
Sr1 0.000 0.000 0.000
V1 0.500 0.500 0.500
Au1 0.000 0.500 0.500


5.
# SrVAu2 | the Alexandria database | PBE-GGA | optimized geometry
# Theoretical density in g cm⁻³: 9.72
# Energy of formation in eV/f.u.: -0.18
# Size of the total moment in Bohr magnetons per cell: 15.16
# Fermi-level density of states in states/eV/f.u.: 5.80
data_SrVAu2
_space_group_name_H-M_alt 'F m -3 m'
_space_group_IT_number 225
_space_group_name_Hall '-F 4 2 3'
_cell_length_a 7.140
_cell_length_b 7.140
_cell_length_c 7.140
_cell_angle_alpha 90.00
_cell_angle_beta 90.00
_cell_angle_gamma 90.00
loop_
_atom_site_label
_atom_site_fract_x
_atom_site_fract_y
_atom_site_fract_z
Sr1 0.000 0.000 0.000
V1 0.000 0.000 0.500
Au1 0.250 0.250 0.250


6.
# Sr2V4Au | the Alexandria database | PBE-GGA | optimized geometry
# Theoretical density in g cm⁻³: 4.54
# Energy of formation in eV/f.u.: 8.57
# Size of the total moment in Bohr magnetons per cell: 27.95
# Fermi-level density of states in states/eV/f.u.: 16.30
data_Sr2V4Au
_space_group_name_H-M_alt 'I 4/m m m'
_space_group_IT_number 139
_space_group_name_Hall '-I 4 2'
_cell_length_a 5.033
_cell_length_b 5.033
_cell_length_c 16.627
_cell_angle_alpha 90.00
_cell_angle_beta 90.00
_cell_angle_gamma 90.00
loop_
_atom_site_label
_atom_site_fract_x
_atom_site_fract_y
_atom_site_fract_z
Sr1 0.000 0.000 0.142
V1 0.000 0.000 0.344
V2 0.000 0.500 0.000
Au1 0.000 0.000 0.500


7.
# SrVAu3 | the Alexandria database | PBE-GGA | optimized geometry
# Theoretical density in g cm⁻³: 6.84
# Energy of formation in eV/f.u.: 5.10
# Size of the total moment in Bohr magnetons per cell: 3.94
# Fermi-level density of states in states/eV/f.u.: 10.02
data_SrVAu3
_space_group_name_H-M_alt 'P m -3 m'
_space_group_IT_number 221
_space_group_name_Hall '-P 4 2 3'
_cell_length_a 5.616
_cell_length_b 5.616
_cell_length_c 5.616
_cell_angle_alpha 90.00
_cell_angle_beta 90.00
_cell_angle_gamma 90.00
loop_
_atom_site_label
_atom_site_fract_x
_atom_site_fract_y
_atom_site_fract_z
Sr1 0.000 0.000 0.000
V1 0.500 0.500 0.500
Au1 0.000 0.000 0.500


8.
# SrVZn2Au | the Alexandria database | PBE-GGA | optimized geometry
# Theoretical density in g cm⁻³: 5.24
# Energy of formation in eV/f.u.: 3.22
# Size of the total moment in Bohr magnetons per cell: 4.73
# Fermi-level density of states in states/eV/f.u.: 3.14
data_SrVZn2Au
_space_group_name_H-M_alt 'P 4/m m m'
_space_group_IT_number 123
_space_group_name_Hall '-P 4 2'
_cell_length_a 4.956
_cell_length_b 4.956
_cell_length_c 6.020
_cell_angle_alpha 90.00
_cell_angle_beta 90.00
_cell_angle_gamma 90.00
loop_
_atom_site_label
_atom_site_fract_x
_atom_site_fract_y
_atom_site_fract_z
Sr1 0.000 0.000 0.000
V1 0.000 0.000 0.500
Zn1 0.000 0.500 0.500
Au1 0.500 0.500 0.000